{
  "formula": "LaMn2BiO6",
  "functional": "GGA+U",
  "state": "relaxed",
  "energy_ev_per_atom": -7.342,
  "lattice": [[-2.818, 1.704, -4.452], [-4.866, -2.726, 2.037], [-2.034, 6.434, 3.750]],
  "species": ["La", "La", "Mn", "Mn", "Mn", "Mn", "Bi", "Bi", "O", "O", "O", "O", "O", "O", "O", "O", "O", "O", "O", "O"],
  "fractional_positions": [[0.238, 0.436, 0.500], [0.762, 0.936, 0.500], [0.752, 0.500, 0.752], [0.248, 0.000, 0.248], [0.752, 0.500, 0.248], [0.248, 0.000, 0.752], [0.263, 0.570, 0.000], [0.737, 0.070, 0.000], [0.036, 0.685, 0.295], [0.964, 0.185, 0.705], [0.463, 0.318, 0.796], [0.537, 0.818, 0.204], [0.463, 0.318, 0.204], [0.537, 0.818, 0.796], [0.036, 0.685, 0.705], [0.964, 0.185, 0.295], [0.149, 0.968, 0.000], [0.851, 0.468, 0.000], [0.337, 0.022, 0.500], [0.663, 0.522, 0.500]]
}